This record from Alexandria describes NaLa2HgOs after structural relaxation. The functional is PBE-GGA.

Cell and atoms, written as POSCAR:
```
NaLa2HgOs
1.0
5.4946 0.0000 0.0000
0.0000 5.4946 0.0000
0.0000 0.0000 5.4870
Na La Hg Os
1 2 1 1
Direct
0.0000 0.0000 0.0000 Na
0.0000 0.5000 0.5000 La
0.5000 0.0000 0.5000 La
0.5000 0.5000 0.0000 Hg
0.5000 0.5000 0.5000 Os
```


This record from Alexandria describes TbTm6Zr after structural relaxation. The functional is PBE-GGA.

Cell and atoms, written as POSCAR:
```
TbTm6Zr
1.0
4.8851 0.0000 0.0000
0.0000 4.8851 0.0000
0.0000 0.0000 9.7530
Tb Tm Zr
1 6 1
Direct
0.0000 0.0000 0.0000 Tb
0.0000 0.5000 0.2609 Tm
0.0000 0.5000 0.7391 Tm
0.5000 0.0000 0.2609 Tm
0.5000 0.0000 0.7391 Tm
0.5000 0.5000 0.0000 Tm
0.5000 0.5000 0.5000 Tm
0.0000 0.0000 0.5000 Zr
```


Number 1: ΔE_f -0.03 eV per atom, density of states at the Fermi level 4.05 states/eV/f.u.. Number 2: ΔE_f 0.05 eV per atom, density of states at the Fermi level 11.54 states/eV/f.u..